No. 1
# KAgCl2 PBE-GGA optimized geometry
# uncorrected formation energy = -0.853 eV/atom
data_KAgCl2
_chemical_formula_sum 'K3 Ag3 Cl6'
_space_group_name_H-M_alt 'R -3 m'
_space_group_IT_number 166
_space_group_name_Hall '-R 3 2"'
_cell_length_a 4.3286
_cell_length_b 4.3286
_cell_length_c 25.0425
_cell_angle_alpha 90.00
_cell_angle_beta 90.00
_cell_angle_gamma 120.00
loop_
_atom_site_label
_atom_site_type_symbol
_atom_site_fract_x
_atom_site_fract_y
_atom_site_fract_z
K1 K 0.0000 0.0000 0.0000
Ag1 Ag 0.0000 0.0000 0.5000
Cl1 Cl 0.0000 0.0000 0.1119

***

No. 2
# BaRe2Ru PBE-GGA optimized geometry
# E_form = 1147 meV/atom
# energy relative to the lowest polymorph listed for this composition = 219 kJ/mol of formula units
data_BaRe2Ru
_chemical_formula_sum 'Ba2 Re4 Ru2'
_space_group_name_H-M_alt 'I m m 2'
_space_group_IT_number 44
_space_group_name_Hall 'I 2 -2'
_cell_length_a 3.099
_cell_length_b 5.591
_cell_length_c 9.712
_cell_angle_alpha 90.00
_cell_angle_beta 90.00
_cell_angle_gamma 90.00
loop_
_atom_site_label
_atom_site_type_symbol
_atom_site_fract_x
_atom_site_fract_y
_atom_site_fract_z
Ba1 Ba 0.000 0.000 0.000
Re1 Re 0.000 0.000 0.496
Re2 Re 0.000 0.500 0.801
Ru1 Ru 0.000 0.500 0.207

***

No. 3
# BaAl2Te PBE-GGA optimized geometry
# uncorrected formation energy = -0.172 eV/atom
data_BaAl2Te
_chemical_formula_sum 'Ba4 Al8 Te4'
_space_group_name_H-M_alt 'F m m m'
_space_group_IT_number 69
_space_group_name_Hall '-F 2 2'
_cell_length_a 6.573
_cell_length_b 6.631
_cell_length_c 12.233
_cell_angle_alpha 90.00
_cell_angle_beta 90.00
_cell_angle_gamma 90.00
loop_
_atom_site_label
_atom_site_type_symbol
_atom_site_fract_x
_atom_site_fract_y
_atom_site_fract_z
Ba1 Ba 0.000 0.000 0.000
Al1 Al 0.250 0.000 0.250
Te1 Te 0.000 0.000 0.500